Entry 1:
The following is a GGA-PBE calculation of In2Cu7AgSn2 after structural relaxation, from Alexandria.

The energy relative to the elements comes out at 1.7 eV/f.u. The density of states at the Fermi level comes out at 4.746 states/eV/f.u.

Unit cell a=3.7206 b=3.7206 c=15.3806 alpha=94.27 beta=94.27 gamma=89.73
With the nearest neighbours (Å) after each atom.
Atoms (fractional coordinates):
In 0.0766 0.0766 0.2601  5 Cu 2.75-2.81
In 0.9234 0.9234 0.7399  5 Cu 2.75-2.81
Cu 0.0000 0.0000 0.0000  4 Ag 2.62-2.64, 8 Cu 2.68-2.70
Cu 0.0358 0.5347 0.1271  6 Cu 2.62-2.70, 2 Ag 2.68-2.70, 2 In 2.75-2.76
Cu 0.1567 0.1567 0.4434  1 Cu 2.52, 5 Sn 2.71-2.79, 1 In 2.81
Cu 0.4653 0.9642 0.8729  6 Cu 2.62-2.70, 2 Ag 2.68-2.70, 2 In 2.75-2.76
Cu 0.5347 0.0358 0.1271  6 Cu 2.62-2.70, 2 Ag 2.68-2.70, 2 In 2.75-2.76
Cu 0.8433 0.8433 0.5566  1 Cu 2.52, 5 Sn 2.71-2.79, 1 In 2.81
Cu 0.9642 0.4653 0.8729  6 Cu 2.62-2.70, 2 Ag 2.68-2.70, 2 In 2.75-2.76
Ag 0.5000 0.5000 0.0000  12 Cu 2.62-2.70
Sn 0.3638 0.3638 0.6120  5 Cu 2.71-2.79
Sn 0.6362 0.6362 0.3880  5 Cu 2.71-2.79

=====

Entry 2:
The following is a GGA-PBE calculation of Pr2Sm7Ho2 after structural relaxation, from Alexandria.

The energy relative to the elements comes out at 1.4 eV/f.u. The density of states at the Fermi level comes out at 14.167 states/eV/f.u.

Unit cell a=8.9059 b=8.9059 c=11.1937 alpha=97.11 beta=97.11 gamma=119.80
With the nearest neighbours (Å) after each atom.
Atoms (fractional coordinates):
Pr 0.0868 0.3438 0.4885  2 Ho 3.31-3.46, 6 Sm 3.37-3.70
Pr 0.3438 0.0868 0.9885  2 Ho 3.31-3.46, 6 Sm 3.37-3.70
Pr 0.6562 0.9132 0.0115  2 Ho 3.31-3.46, 6 Sm 3.37-3.70
Pr 0.9132 0.6562 0.5115  2 Ho 3.31-3.46, 6 Sm 3.37-3.70
Sm 0.0852 0.9148 0.2500  8 Sm 3.55-3.72, 2 Ho 3.59, 2 Pr 3.94
Sm 0.0898 0.2351 0.0888  2 Pr 3.37-3.38, 4 Sm 3.38-3.72, 1 Ho 3.47
Sm 0.2351 0.0898 0.5888  2 Pr 3.37-3.38, 4 Sm 3.38-3.72, 1 Ho 3.47
Sm 0.2369 0.6605 0.0724  4 Sm 3.38-3.71, 3 Ho 3.45-3.53, 2 Pr 3.48-3.70
Sm 0.3395 0.7631 0.4276  4 Sm 3.38-3.71, 3 Ho 3.45-3.53, 2 Pr 3.48-3.70
Sm 0.3870 0.4374 0.8618  2 Sm 3.20-3.26, 1 Ho 3.41, 1 Pr 3.46
Sm 0.4374 0.3870 0.3618  2 Sm 3.20-3.26, 1 Ho 3.41, 1 Pr 3.46
Sm 0.5626 0.6130 0.6382  2 Sm 3.20-3.26, 1 Ho 3.41, 1 Pr 3.46
Sm 0.6130 0.5626 0.1383  2 Sm 3.20-3.26, 1 Ho 3.41, 1 Pr 3.46
Sm 0.6605 0.2369 0.5724  4 Sm 3.38-3.71, 3 Ho 3.45-3.53, 2 Pr 3.48-3.70
Sm 0.7631 0.3395 0.9276  4 Sm 3.38-3.71, 3 Ho 3.45-3.53, 2 Pr 3.48-3.70
Sm 0.7649 0.9102 0.4112  2 Pr 3.37-3.38, 4 Sm 3.38-3.72, 1 Ho 3.47
Sm 0.9102 0.7649 0.9112  2 Pr 3.37-3.38, 4 Sm 3.38-3.72, 1 Ho 3.47
Sm 0.9148 0.0852 0.7500  8 Sm 3.55-3.72, 2 Ho 3.59, 2 Pr 3.94
Ho 0.0857 0.5465 0.7570  2 Pr 3.31-3.46, 1 Ho 3.33, 6 Sm 3.41-3.59
Ho 0.4535 0.9143 0.7430  2 Pr 3.31-3.46, 1 Ho 3.33, 6 Sm 3.41-3.59
Ho 0.5465 0.0857 0.2570  2 Pr 3.31-3.46, 1 Ho 3.33, 6 Sm 3.41-3.59
Ho 0.9143 0.4535 0.2430  2 Pr 3.31-3.46, 1 Ho 3.33, 6 Sm 3.41-3.59

=====

Entry 3:
The following is a GGA-PBE calculation of CeYNiIr after structural relaxation, from Alexandria.

The energy relative to the elements comes out at -2.1 eV/f.u. The density of states at the Fermi level comes out at 6.928 states/eV/f.u.

Unit cell a=6.8972 b=6.8972 c=6.8972 alpha=90.00 beta=90.00 gamma=90.00
With the nearest neighbours (Å) after each atom.
Atoms (fractional coordinates):
Ce 0.0000 0.0000 0.0000  4 Ir 2.99, 4 Ni 2.99
Ce 0.0000 0.5000 0.5000  4 Ir 2.99, 4 Ni 2.99
Ce 0.5000 0.0000 0.5000  4 Ir 2.99, 4 Ni 2.99
Ce 0.5000 0.5000 0.0000  4 Ir 2.99, 4 Ni 2.99
Y 0.0000 0.0000 0.5000  4 Ni 2.99, 4 Ir 2.99
Y 0.0000 0.5000 0.0000  4 Ni 2.99, 4 Ir 2.99
Y 0.5000 0.0000 0.0000  4 Ni 2.99, 4 Ir 2.99
Y 0.5000 0.5000 0.5000  4 Ni 2.99, 4 Ir 2.99
Ni 0.2500 0.2500 0.2500  4 Ce 2.99, 4 Y 2.99
Ni 0.2500 0.7500 0.7500  4 Ce 2.99, 4 Y 2.99
Ni 0.7500 0.2500 0.7500  4 Ce 2.99, 4 Y 2.99
Ni 0.7500 0.7500 0.2500  4 Ce 2.99, 4 Y 2.99
Ir 0.2500 0.2500 0.7500  4 Y 2.99, 4 Ce 2.99
Ir 0.2500 0.7500 0.2500  4 Y 2.99, 4 Ce 2.99
Ir 0.7500 0.2500 0.2500  4 Y 2.99, 4 Ce 2.99
Ir 0.7500 0.7500 0.7500  4 Y 2.99, 4 Ce 2.99

=====

Entry 4:
The following is a GGA-PBE calculation of V3Cu2 after structural relaxation, from Alexandria.

The energy relative to the elements comes out at 0.2 eV/f.u. The density of states at the Fermi level comes out at 4.229 states/eV/f.u.

Unit cell a=4.2950 b=4.2915 c=7.2945 alpha=90.00 beta=106.97 gamma=90.00
With the nearest neighbours (Å) after each atom.
Atoms (fractional coordinates):
V 0.0000 0.0000 0.0000  8 V 2.55-2.56, 2 Cu 2.84
V 0.0990 0.5000 0.1985  5 V 2.55-2.77, 5 Cu 2.59-2.75
V 0.4010 0.0000 0.8015  5 V 2.55-2.77, 5 Cu 2.59-2.75
V 0.5000 0.5000 0.0000  8 V 2.55-2.56, 2 Cu 2.84
V 0.5990 0.0000 0.1985  5 V 2.55-2.77, 5 Cu 2.59-2.75
V 0.9010 0.5000 0.8015  5 V 2.55-2.77, 5 Cu 2.59-2.75
Cu 0.2035 0.0000 0.4070  4 Cu 2.51, 5 V 2.59-2.75
Cu 0.2965 0.5000 0.5930  4 Cu 2.51, 5 V 2.59-2.75
Cu 0.7035 0.5000 0.4070  4 Cu 2.51, 5 V 2.59-2.75
Cu 0.7965 0.0000 0.5930  4 Cu 2.51, 5 V 2.59-2.75

=====

Entry 5:
The following is a GGA-PBE calculation of Pm4As2F after structural relaxation, from Alexandria.

The value obtained for the energy relative to the elements, uncorrected is -886 kJ/mol of formula units. The density of states at the Fermi level comes out at 8.779 states/eV/f.u.

Unit cell a=4.6197 b=4.6197 c=16.1685 alpha=90.00 beta=90.00 gamma=90.00
With the nearest neighbours (Å) after each atom.
Atoms (fractional coordinates):
Pm 0.0000 0.0000 0.1808  1 F 2.92, 1 As 3.00
Pm 0.0000 0.0000 0.8192  1 F 2.92, 1 As 3.00
Pm 0.0000 0.5000 0.0000  2 F 2.31
Pm 0.0000 0.5000 0.5000  2 F 2.31
Pm 0.5000 0.0000 0.0000  2 F 2.31
Pm 0.5000 0.0000 0.5000  2 F 2.31
Pm 0.5000 0.5000 0.3192  1 F 2.92, 1 As 3.00
Pm 0.5000 0.5000 0.6808  1 F 2.92, 1 As 3.00
As 0.0000 0.0000 0.3662  9 Pm 3.00-3.35
As 0.0000 0.0000 0.6338  9 Pm 3.00-3.35
As 0.5000 0.5000 0.1338  9 Pm 3.00-3.35
As 0.5000 0.5000 0.8662  9 Pm 3.00-3.35
F 0.0000 0.0000 0.0000  4 Pm 2.31
F 0.5000 0.5000 0.5000  4 Pm 2.31

=====

Entry 6:
The following is a GGA-PBE calculation of AlZnSi2 after structural relaxation, from Alexandria.

The value obtained for the energy relative to the elements, uncorrected is 111 kJ/mol of formula units. The density of states at the Fermi level comes out at 1.468 states/eV/f.u.

Unit cell a=2.8426 b=3.6817 c=5.8939 alpha=90.00 beta=90.00 gamma=90.00
With the nearest neighbours (Å) after each atom.
Atoms (fractional coordinates):
Al 0.0000 0.0000 0.0000  6 Si 2.76-3.01, 4 Zn 2.79, 2 Al 2.84
Zn 0.5000 0.5000 0.7385  6 Si 2.75-3.03, 4 Al 2.79, 2 Zn 2.84
Si 0.0000 0.0000 0.4892  6 Si 2.71-2.84, 4 Zn 2.75, 2 Al 2.88-3.01
Si 0.5000 0.5000 0.2523  6 Si 2.71-2.84, 4 Al 2.76, 2 Zn 2.87-3.03

=====

DFT total energy values (in eV for the cell shown) by entry order: -43.3; -100.8; -116.6; -70.6; -78.7; -14.7.
Calculated density values (in g cm⁻³) by entry order: 7.998; 7.403; 9.716; 7.229; 7.207; 3.999.